This record from Alexandria via LeMat-Bulk describes crystalline CaMg4Sn2 at its relaxed geometry. The functional is PBE.

Structure (POSCAR):
```
CaMg4Sn2
1.0
8.8489 0.0000 0.0000
0.0000 8.8489 0.0000
0.0000 0.0000 4.5864
Ca Mg Sn
2 8 4
direct
0.0000 0.0000 0.0000 Ca
0.5000 0.5000 0.5000 Ca
0.0933 0.3453 0.5000 Mg
0.1547 0.5933 0.0000 Mg
0.3453 0.0933 0.5000 Mg
0.4067 0.8453 0.0000 Mg
0.5933 0.1547 0.0000 Mg
0.6547 0.9067 0.5000 Mg
0.8453 0.4067 0.0000 Mg
0.9067 0.6547 0.5000 Mg
0.2050 0.7950 0.5000 Sn
0.2950 0.2950 0.0000 Sn
0.7050 0.7050 0.0000 Sn
0.7950 0.2050 0.5000 Sn
```

## Properties
ΔE_f, meV/atom: -287
Space-group type: P4_2/mnm (136)

This record from Alexandria via LeMat-Bulk describes crystalline Li3Hf3TiSe8 at its relaxed geometry. The functional is PBE.

Structure (POSCAR):
```
Li3Hf3TiSe8
1.0
3.7202 2.1478 6.6136
-3.7202 2.1478 6.6136
0.0000 -4.2957 6.6136
Li Hf Ti Se
3 3 1 8
direct
0.0000 0.5000 0.5000 Li
0.5000 0.0000 0.5000 Li
0.5000 0.5000 0.0000 Li
0.0000 0.0000 0.5000 Hf
0.0000 0.5000 0.0000 Hf
0.5000 0.0000 0.0000 Hf
0.5000 0.5000 0.5000 Ti
0.2496 0.2496 0.2496 Se
0.2514 0.7448 0.7448 Se
0.2552 0.2552 0.7486 Se
0.2552 0.7486 0.2552 Se
0.7448 0.2514 0.7448 Se
0.7448 0.7448 0.2514 Se
0.7486 0.2552 0.2552 Se
0.7504 0.7504 0.7504 Se
```

## Properties
E_tot, Ry per atom: -0.4440
Space-group type: R-3m (166)

The records above yield magnetic moment values of 0.0; 0.8 μB per cell, respectively.